Ga2SnBi, optimized geometry, DFT GGA-PBE; crystal system = trigonal
1.0
1.652 0.954 11.164
-1.652 0.954 11.164
0.000 -1.907 11.164
Ga Sn Bi
2 1 1
direct
0.087 0.087 0.087
0.913 0.913 0.913
0.000 0.000 0.000
0.500 0.500 0.500

GaSn2Bi, optimized geometry, DFT GGA-PBE; crystal system = tetragonal
1.0
-3.267 3.267 6.584
3.267 -3.267 6.584
3.267 3.267 -6.584
Ga Sn Bi
2 4 2
direct
0.000 0.000 0.000
0.750 0.250 0.500
0.086 0.625 0.961
0.375 0.336 0.461
0.664 0.125 0.039
0.875 0.914 0.539
0.250 0.750 0.500
0.500 0.500 0.000

Ga2SnBi, optimized geometry, DFT GGA-PBE; crystal system = tetragonal
1.0
3.620 0.000 0.000
0.000 3.620 0.000
0.000 0.000 7.499
Ga Sn Bi
2 1 1
direct
0.000 0.000 0.235
0.000 0.000 0.765
0.500 0.500 0.000
0.500 0.500 0.500

GaSn2Bi, optimized geometry, DFT GGA-PBE; crystal system = cubic
1.0
0.000 3.806 3.806
3.806 0.000 3.806
3.806 3.806 0.000
Ga Sn Bi
1 2 1
direct
0.000 0.000 0.000
0.250 0.250 0.250
0.750 0.750 0.750
0.500 0.500 0.500

Ga3SnBi3, optimized geometry, DFT GGA-PBE; crystal system = cubic
1.0
7.883 0.000 0.000
0.000 7.883 0.000
0.000 0.000 7.883
Ga Sn Bi
6 2 6
direct
0.000 0.250 0.500
0.000 0.750 0.500
0.250 0.500 0.000
0.500 0.000 0.250
0.500 0.000 0.750
0.750 0.500 0.000
0.000 0.000 0.000
0.500 0.500 0.500
0.000 0.500 0.250
0.000 0.500 0.750
0.250 0.000 0.500
0.500 0.250 0.000
0.500 0.750 0.000
0.750 0.000 0.500

GaSn2Bi, optimized geometry, DFT GGA-PBE; crystal system = hexagonal
1.0
4.985 0.000 0.000
-2.492 4.317 0.000
0.000 0.000 15.898
Ga Sn Bi
2 4 2
direct
0.333 0.667 0.250
0.667 0.333 0.750
0.333 0.667 0.080
0.333 0.667 0.420
0.667 0.333 0.580
0.667 0.333 0.920
0.000 0.000 0.000
0.000 0.000 0.500

GaSnBi, optimized geometry, DFT GGA-PBE; crystal system = trigonal
1.0
3.391 0.000 0.000
-1.695 2.937 0.000
0.000 0.000 8.131
Ga Sn Bi
1 1 1
direct
0.000 0.000 0.000
0.333 0.667 0.697
0.667 0.333 0.323

Ga2SnBi, optimized geometry, DFT GGA-PBE; crystal system = hexagonal
1.0
4.256 0.000 0.000
-2.128 3.686 0.000
0.000 0.000 13.740
Ga Sn Bi
4 2 2
direct
0.333 0.667 0.117
0.333 0.667 0.383
0.667 0.333 0.617
0.667 0.333 0.883
0.000 0.000 0.000
0.000 0.000 0.500
0.000 0.000 0.250
0.000 0.000 0.750

GaSnBi, optimized geometry, DFT GGA-PBE; crystal system = tetragonal
1.0
-1.781 1.781 6.211
1.781 -1.781 6.211
1.781 1.781 -6.211
Ga Sn Bi
1 1 1
direct
0.000 0.000 0.000
0.643 0.643 0.000
0.338 0.338 0.000

Sr2GaSnBi, optimized geometry, DFT GGA-PBE; crystal system = monoclinic
1.0
8.258 0.000 0.000
0.000 4.603 0.000
-0.003 0.000 8.948
Sr Ga Sn Bi
4 2 2 2
direct
0.240 0.250 0.497
0.241 0.250 0.003
0.759 0.750 0.997
0.760 0.750 0.503
0.416 0.750 0.251
0.584 0.250 0.749
0.405 0.750 0.750
0.595 0.250 0.250
0.078 0.750 0.250
0.922 0.250 0.750

GaTc2SnBi, optimized geometry, DFT GGA-PBE; crystal system = tetragonal
1.0
4.802 0.000 0.000
0.000 4.802 0.000
0.000 0.000 5.033
Ga Tc Sn Bi
1 2 1 1
direct
0.000 0.000 0.000
0.000 0.500 0.000
0.500 0.000 0.000
0.000 0.000 0.500
0.500 0.500 0.500

TiGaSn2Bi, optimized geometry, DFT GGA-PBE; crystal system = tetragonal
1.0
5.848 0.000 0.000
0.000 5.848 0.000
0.000 0.000 5.294
Ti Ga Sn Bi
1 1 2 1
direct
0.000 0.000 0.000
0.500 0.500 0.000
0.000 0.500 0.500
0.500 0.000 0.500
0.500 0.500 0.500

TlGaSnBi, optimized geometry, DFT GGA-PBE; crystal system = cubic
1.0
0.000 3.850 3.850
3.850 0.000 3.850
3.850 3.850 0.000
Tl Ga Sn Bi
1 1 1 1
direct
0.000 0.000 0.000
0.250 0.250 0.250
0.750 0.750 0.750
0.500 0.500 0.500

GaSnBi2W, optimized geometry, DFT GGA-PBE; crystal system = tetragonal
1.0
5.444 0.000 0.000
0.000 5.444 0.000
0.000 0.000 5.004
Ga Sn Bi W
1 1 2 1
direct
0.000 0.000 0.000
0.500 0.500 0.000
0.000 0.500 0.500
0.500 0.000 0.500
0.000 0.000 0.500

Sr2GaBi3, optimized geometry, DFT GGA-PBE; crystal system = monoclinic
1.0
8.126 -3.561 0.000
8.126 3.561 0.000
-1.109 0.000 7.161
Sr Ga Bi
4 2 6
direct
0.087 0.257 0.077
0.257 0.087 0.577
0.743 0.913 0.423
0.913 0.743 0.923
0.382 0.618 0.750
0.618 0.382 0.250
0.013 0.987 0.250
0.293 0.427 0.386
0.427 0.293 0.886
0.573 0.707 0.114
0.707 0.573 0.614
0.987 0.013 0.750

Sr5Ga2Bi6, optimized geometry, DFT GGA-PBE; crystal system = orthorhombic
1.0
13.082 0.000 0.000
0.000 15.002 0.000
0.000 0.000 4.748
Sr Ga Bi
10 4 12
direct
0.000 0.000 0.000
0.093 0.248 0.000
0.168 0.524 0.000
0.332 0.024 0.000
0.407 0.748 0.000
0.500 0.500 0.000
0.593 0.252 0.000
0.668 0.976 0.000
0.832 0.476 0.000
0.907 0.752 0.000
0.175 0.710 0.500
0.325 0.210 0.500
0.675 0.790 0.500
0.825 0.290 0.500
0.018 0.399 0.500
0.156 0.091 0.500
0.162 0.819 0.000
0.338 0.319 0.000
0.344 0.591 0.500
0.482 0.899 0.500
0.518 0.101 0.500
0.656 0.409 0.500
0.662 0.681 0.000
0.838 0.181 0.000
0.844 0.909 0.500
0.982 0.601 0.500

Sr2GaBi2, optimized geometry, DFT GGA-PBE; crystal system = tetragonal
1.0
8.412 0.000 0.000
0.000 8.412 0.000
0.000 0.000 4.872
Sr Ga Bi
4 2 4
direct
0.175 0.325 0.000
0.325 0.825 0.000
0.675 0.175 0.000
0.825 0.675 0.000
0.000 0.000 0.500
0.500 0.500 0.500
0.129 0.629 0.500
0.371 0.129 0.500
0.629 0.871 0.500
0.871 0.371 0.500

Sr2GaBi2, optimized geometry, DFT GGA-PBE; crystal system = monoclinic
1.0
7.521 -3.419 0.000
7.521 3.419 0.000
-5.497 0.000 7.785
Sr Ga Bi
4 2 4
direct
0.114 0.114 0.340
0.346 0.346 0.957
0.654 0.654 0.043
0.886 0.886 0.660
0.370 0.370 0.318
0.630 0.630 0.682
0.147 0.147 0.027
0.404 0.404 0.641
0.596 0.596 0.359
0.853 0.853 0.973

SrGaBi4, optimized geometry, DFT GGA-PBE; crystal system = cubic
1.0
0.000 4.691 4.691
4.691 0.000 4.691
4.691 4.691 0.000
Sr Ga Bi
1 1 4
direct
0.000 0.000 0.000
0.750 0.750 0.750
0.376 0.376 0.376
0.376 0.376 0.871
0.376 0.871 0.376
0.871 0.376 0.376

Sr2Ga2Bi, optimized geometry, DFT GGA-PBE; crystal system = tetragonal
1.0
7.896 0.000 0.000
0.000 7.896 0.000
0.000 0.000 4.842
Sr Ga Bi
4 4 2
direct
0.178 0.322 0.000
0.322 0.822 0.000
0.678 0.178 0.000
0.822 0.678 0.000
0.116 0.616 0.500
0.384 0.116 0.500
0.616 0.884 0.500
0.884 0.384 0.500
0.000 0.000 0.500
0.500 0.500 0.500

Sr3GaBi, optimized geometry, DFT GGA-PBE; crystal system = cubic
1.0
5.949 0.000 0.000
0.000 5.949 0.000
0.000 0.000 5.949
Sr Ga Bi
3 1 1
direct
0.000 0.000 0.500
0.000 0.500 0.000
0.500 0.000 0.000
0.000 0.000 0.000
0.500 0.500 0.500

Sr3Ga2Bi4, optimized geometry, DFT GGA-PBE; crystal system = monoclinic
1.0
7.434 -5.854 0.000
7.434 5.854 0.000
-0.337 0.000 7.405
Sr Ga Bi
6 4 8
direct
0.103 0.897 0.750
0.254 0.496 0.010
0.496 0.254 0.510
0.504 0.746 0.490
0.746 0.504 0.990
0.897 0.103 0.250
0.089 0.322 0.578
0.322 0.089 0.078
0.678 0.911 0.922
0.911 0.678 0.422
0.058 0.243 0.928
0.214 0.562 0.514
0.243 0.058 0.428
0.438 0.786 0.986
0.562 0.214 0.014
0.757 0.942 0.572
0.786 0.438 0.486
0.942 0.757 0.072

SrGa3Bi, optimized geometry, DFT GGA-PBE; crystal system = cubic
1.0
5.719 0.000 0.000
0.000 5.719 0.000
0.000 0.000 5.719
Sr Ga Bi
1 3 1
direct
0.000 0.000 0.000
0.000 0.000 0.500
0.000 0.500 0.000
0.500 0.000 0.000
0.500 0.500 0.500

Sr4Ga2Bi5, optimized geometry, DFT GGA-PBE; crystal system = monoclinic
1.0
8.037 0.000 0.000
0.000 4.709 0.000
-0.102 0.000 9.938
Sr Ga Bi
4 2 5
direct
0.211 0.000 0.375
0.267 0.000 0.895
0.733 0.000 0.105
0.789 0.000 0.625
0.066 0.500 0.114
0.934 0.500 0.886
0.129 0.500 0.653
0.412 0.500 0.163
0.500 0.500 0.500
0.588 0.500 0.837
0.871 0.500 0.347

Calculated formation energy across the listed records, respectively: 162, 45, 85, 117, 378, 444, 100, 109, 72, -601, 1155, 1220, 92, 658, -385, -653, -554, -472, -107, -493, -272, -523, 773, -581 meV per atom.
Uncorrected energy across the listed records, respectively: -3.3219, -3.6835, -3.3992, -3.6111, -3.1543, -3.2841, -3.5374, -3.3753, -3.5650, -3.4555, -5.1734, -3.3419, -3.2270, -4.8909, -3.3907, -3.5564, -3.3844, -3.3021, -3.4790, -3.1528, -2.6626, -3.4809, -2.1559, -3.5067 eV per atom.